(1)
A plane-wave DFT calculation with PBE-GGA was carried out for a relaxed structure of BeHg3Te4.

The structure in extended XYZ format:
```
8
Lattice="-3.2014 3.2014 6.3685 3.2014 -3.2014 6.3685 3.2014 3.2014 -6.3685" Properties=species:S:1:pos:R:3 pbc="T T T"
Be 0.0000 0.0000 0.0000
Hg 3.2014 0.0000 3.1843
Hg 0.0000 0.0000 6.3685
Hg 0.0000 3.2014 3.1843
Te 1.7786 -1.7786 4.9266
Te 1.4229 1.4229 1.4420
Te -1.7786 1.7786 4.9266
Te 1.7786 1.7786 7.8105
```

Computed properties:
- Uncorrected formation energy: -0.20 eV per atom
- Total magnetization: 0.0 Bohr magnetons per cell
- V: 32.64 Å³ per atom

(2)
A plane-wave DFT calculation with PBE-GGA was carried out for a relaxed structure of BeHgTe2.

The structure in extended XYZ format:
```
4
Lattice="3.8998 0.0000 0.0000 0.0000 3.9363 0.0000 0.0000 0.0000 9.2394" Properties=species:S:1:pos:R:3 pbc="T T T"
Be 0.0000 0.0000 0.0000
Hg 0.0000 1.9682 4.6197
Te 1.9499 0.0000 4.6197
Te 1.9499 1.9682 0.0000
```

Computed properties:
- Uncorrected formation energy: 0.41 eV per atom
- Total magnetization: 0.0 Bohr magnetons per cell
- V: 35.46 Å³ per atom
- Excess energy over the best structure of this formula in the dataset: 0.648 eV/atom

(3)
A plane-wave DFT calculation with PBE-GGA was carried out for a relaxed structure of Be3HgTe.

The structure in extended XYZ format:
```
5
Lattice="4.7805 0.0000 0.0000 0.0000 4.7805 0.0000 0.0000 0.0000 4.7805" Properties=species:S:1:pos:R:3 pbc="T T T"
Be 0.0000 0.0000 2.3903
Be 0.0000 2.3903 0.0000
Be 2.3903 0.0000 0.0000
Hg 2.3903 2.3903 2.3903
Te 0.0000 0.0000 0.0000
```

Computed properties:
- Uncorrected formation energy: 1.21 eV per atom
- Total magnetization: 0.0 Bohr magnetons per cell
- V: 21.85 Å³ per atom
- Excess energy over the best structure of this formula in the dataset: 0.336 eV/atom

(4)
A plane-wave DFT calculation with PBE-GGA was carried out for a relaxed structure of BeHgTe2.

The structure in extended XYZ format:
```
4
Lattice="3.2053 -4.0752 0.0000 3.2053 4.0752 0.0000 -2.4620 0.0000 4.0121" Properties=species:S:1:pos:R:3 pbc="T T T"
Be 0.0000 0.0000 0.0000
Hg 3.2053 0.0000 0.0000
Te 0.3716 2.0376 2.0060
Te 0.3716 -2.0376 2.0060
```

Computed properties:
- Uncorrected formation energy: 0.40 eV per atom
- Total magnetization: 0.0 Bohr magnetons per cell
- V: 26.20 Å³ per atom
- Excess energy over the best structure of this formula in the dataset: 0.641 eV/atom

(5)
A plane-wave DFT calculation with PBE-GGA was carried out for a relaxed structure of BeHgTe2.

The structure in extended XYZ format:
```
8
Lattice="-4.4028 4.4028 2.7582 4.4028 -4.4028 2.7582 4.4028 4.4028 -2.7582" Properties=species:S:1:pos:R:3 pbc="T T T"
Be 4.4028 0.0000 1.3791
Be 0.0000 4.4028 1.3791
Hg 0.0000 0.0000 1.3791
Hg 0.0000 0.0000 4.1373
Te 5.8280 1.4253 0.0000
Te 1.4253 2.9775 0.0000
Te 2.9775 1.4253 2.7582
Te -1.4253 2.9775 2.7582
```

Computed properties:
- Uncorrected formation energy: 0.07 eV per atom
- Total magnetization: 0.0 Bohr magnetons per cell
- V: 26.73 Å³ per atom
- Excess energy over the best structure of this formula in the dataset: 0.307 eV/atom

(6)
A plane-wave DFT calculation with PBE-GGA was carried out for a relaxed structure of BeHgTe3.

The structure in extended XYZ format:
```
5
Lattice="5.6107 0.0000 0.0000 0.0000 5.6107 0.0000 0.0000 0.0000 5.6107" Properties=species:S:1:pos:R:3 pbc="T T T"
Be 0.0000 0.0000 0.0000
Hg 2.8053 2.8053 2.8053
Te 0.0000 2.8053 2.8053
Te 2.8053 0.0000 2.8053
Te 2.8053 2.8053 0.0000
```

Computed properties:
- Uncorrected formation energy: 1.16 eV per atom
- Total magnetization: 0.6 Bohr magnetons per cell
- V: 35.32 Å³ per atom
- Excess energy over the best structure of this formula in the dataset: 0.781 eV/atom

(7)
A plane-wave DFT calculation with PBE-GGA was carried out for a relaxed structure of BeHgTe2.

The structure in extended XYZ format:
```
8
Lattice="6.3159 0.0000 0.0000 0.0000 3.9944 0.0000 -0.5897 0.0000 10.2613" Properties=species:S:1:pos:R:3 pbc="T T T"
Be 0.7205 0.9986 2.9438
Be 5.0058 2.9958 7.3175
Hg 0.7585 2.9958 6.1837
Hg 4.9678 0.9986 4.0776
Te 0.8977 0.9986 0.5388
Te 2.0669 2.9958 3.3205
Te 3.6594 0.9986 6.9408
Te 4.8286 2.9958 9.7225
```

Computed properties:
- Uncorrected formation energy: -0.02 eV per atom
- Total magnetization: 0.0 Bohr magnetons per cell
- V: 32.36 Å³ per atom
- Excess energy over the best structure of this formula in the dataset: 0.222 eV/atom

(8)
A plane-wave DFT calculation with PBE-GGA was carried out for a relaxed structure of BeHgTe3.

The structure in extended XYZ format:
```
5
Lattice="5.0737 0.0000 0.0000 0.0000 5.0737 0.0000 0.0000 0.0000 5.0737" Properties=species:S:1:pos:R:3 pbc="T T T"
Be 0.0000 0.0000 0.0000
Hg 2.5369 2.5369 2.5369
Te 0.0000 0.0000 2.5369
Te 0.0000 2.5369 0.0000
Te 2.5369 0.0000 0.0000
```

Computed properties:
- Uncorrected formation energy: 0.37 eV per atom
- Total magnetization: 0.0 Bohr magnetons per cell
- V: 26.12 Å³ per atom
- Excess energy over the best structure of this formula in the dataset: 0.000 eV/atom

(9)
A plane-wave DFT calculation with PBE-GGA was carried out for a relaxed structure of BeHgTe2.

The structure in extended XYZ format:
```
32
Lattice="6.2012 -5.5160 0.0000 6.2012 5.5160 0.0000 -2.5809 0.0000 14.2445" Properties=species:S:1:pos:R:3 pbc="T T T"
Be 2.9537 3.6900 12.1671
Be 5.5774 3.6900 9.1996
Be 2.9122 0.5053 9.2787
Be 4.2027 -0.5053 2.1565
Be 5.6189 0.5053 12.0880
Be 6.9093 -0.5053 4.9658
Be 4.2441 -3.6900 5.0448
Be 6.8678 -3.6900 2.0774
Hg -0.0060 0.9378 12.5199
Hg 3.6997 2.3674 5.4993
Hg 1.2844 -0.9378 5.3977
Hg 7.4122 2.3674 1.6230
Hg 2.4093 -2.3674 12.6215
Hg 8.5371 0.9378 8.8468
Hg 6.1218 -2.3674 8.7452
Hg 9.8276 -0.9378 1.7246
Te 4.2655 5.1120 10.6834
Te 1.6989 2.1684 10.6704
Te 2.1685 0.2517 0.9031
Te 0.8781 -0.2517 8.0254
Te 4.6190 1.7648 8.0009
Te 3.9121 1.7648 13.3658
Te 5.5560 0.9892 3.5611
Te 2.9894 -2.1684 3.5481
Te 6.8322 2.1684 10.6963
Te 4.2655 -0.9892 10.6834
Te 5.9095 -1.7648 0.8787
Te 5.2025 -1.7648 6.2436
Te 8.9434 0.2517 6.2191
Te 7.6530 -0.2517 13.3414
Te 8.1226 -2.1684 3.5741
Te 5.5560 -5.1120 3.5611
```

Computed properties:
- Uncorrected formation energy: -0.14 eV per atom
- Total magnetization: 0.0 Bohr magnetons per cell
- V: 30.45 Å³ per atom
- Excess energy over the best structure of this formula in the dataset: 0.102 eV/atom

(10)
A plane-wave DFT calculation with PBE-GGA was carried out for a relaxed structure of BeHgTe.

The structure in extended XYZ format:
```
3
Lattice="-1.8189 1.8189 5.9850 1.8189 -1.8189 5.9850 1.8189 1.8189 -5.9850" Properties=species:S:1:pos:R:3 pbc="T T T"
Be 0.0000 0.0000 0.0000
Hg 0.0000 0.0000 2.3765
Te 0.0000 0.0000 5.3960
```

Computed properties:
- Uncorrected formation energy: 0.13 eV per atom
- Total magnetization: 0.0 Bohr magnetons per cell
- V: 26.40 Å³ per atom
- Excess energy over the best structure of this formula in the dataset: 0.187 eV/atom

(11)
A plane-wave DFT calculation with PBE-GGA was carried out for a relaxed structure of BeHgTe2.

The structure in extended XYZ format:
```
8
Lattice="2.0674 -11.2702 0.0000 2.0674 11.2702 0.0000 0.0000 0.0000 4.9030" Properties=species:S:1:pos:R:3 pbc="T T T"
Be 2.0674 9.8156 3.6773
Be 2.0674 -9.8156 1.2258
Hg 2.0674 4.0853 3.6773
Hg 2.0674 -4.0853 1.2258
Te 2.0674 10.2456 1.2258
Te 2.0674 7.3931 3.6773
Te 2.0674 -7.3931 1.2258
Te 2.0674 -10.2456 3.6773
```

Computed properties:
- Uncorrected formation energy: 0.18 eV per atom
- Total magnetization: 0.0 Bohr magnetons per cell
- V: 28.56 Å³ per atom
- Excess energy over the best structure of this formula in the dataset: 0.416 eV/atom

(12)
A plane-wave DFT calculation with PBE-GGA was carried out for a relaxed structure of BeHgTe4.

The structure in extended XYZ format:
```
6
Lattice="0.0000 4.5170 4.5170 4.5170 0.0000 4.5170 4.5170 4.5170 0.0000" Properties=species:S:1:pos:R:3 pbc="T T T"
Be 0.0000 0.0000 0.0000
Hg 6.7756 6.7756 6.7756
Te 3.3813 3.3813 3.3813
Te 5.6528 5.6528 3.3813
Te 5.6528 3.3813 5.6528
Te 3.3813 5.6528 5.6528
```

Computed properties:
- Uncorrected formation energy: 0.71 eV per atom
- Total magnetization: 0.0 Bohr magnetons per cell
- V: 30.72 Å³ per atom

Uncorrected energy in eV per atom, matching the order above: -2.35, -2.17, -1.71, -2.18, -2.51, -1.54, -2.60, -2.32, -2.72, -2.26, -2.40, -2.05